CoH2O2 | PBE with a Hubbard U | optimized geometry

a = 5.4364 Å, b = 5.4364 Å, c = 4.8062 Å
α = 90.00°, β = 90.00°, γ = 147.45°
Last column: nearest neighbours and their distance in Å.
Positions (direct):
H 0.4072 0.5928 0.2200  1 O 0.98
H 0.0150 0.9850 0.4180  1 O 1.00
H 0.5928 0.4072 0.7200  1 O 0.98
H 0.9850 0.0150 0.9180  1 O 1.00
O 0.0582 0.9418 0.2316  1 H 1.00
O 0.9418 0.0582 0.7316  1 H 1.00
O 0.3142 0.6858 0.1923  1 H 0.98
O 0.6858 0.3142 0.6923  1 H 0.98
Co 0.3127 0.6873 0.7414  5 O 2.03-2.17
Co 0.6873 0.3127 0.2414  5 O 2.03-2.17

- total DFT energy (no corrections) (eV/atom) = -5.332
- crystal system = orthorhombic
- relative energy among the computed polymorphs (meV per atom) = 47.3
- M_tot (μB/f.u.) = 3.00